! Np3Co | OQMD | PBE | optimized geometry; values from VASP
&SYSTEM
  ibrav = 0, nat = 4, ntyp = 2
/
ATOMIC_SPECIES
Np 237.00 Np.upf
Co 58.93 Co.upf
CELL_PARAMETERS angstrom
4.162 0.000 0.000
0.000 4.162 0.000
0.000 0.000 4.162
ATOMIC_POSITIONS angstrom
Np 0.000 0.000 2.081
Np 0.000 2.081 0.000
Np 2.081 0.000 0.000
Co 2.081 2.081 2.081
! Mass density = 17.7 g cm⁻³
! Energy of formation from the pure elements = 2.14 eV/f.u.
! Symmetry = Pm-3m, No. 221
! VASP energy = -43.28 eV/cell
! Total magnetic moment = 0.0 μB/cell